No. 1
TlAg3Se2 | OQMD via LeMat-Bulk | PBE | relaxed; total energy = -37.8 eV per cell
1.0
8.2761 -2.1771 0.0000
8.2761 2.1771 0.0000
-3.6847 0.0000 8.0347
Tl Ag Se
2 6 4
direct
0.1356 0.1356 0.0485
0.8644 0.8644 0.9515
0.0556 0.0556 0.3987
0.3130 0.3130 0.5640
0.4089 0.4089 0.3501
0.5911 0.5911 0.6499
0.6870 0.6870 0.4360
0.9444 0.9444 0.6013
0.2016 0.2016 0.7073
0.4841 0.4841 0.8011
0.5159 0.5159 0.1989
0.7984 0.7984 0.2927

=====

No. 2
TlAgWSe3 | OQMD via LeMat-Bulk | PBE | relaxed; total energy = -57.8 eV per cell; magnetic moment = 2.54 Bohr magnetons per cell
1.0
1.7845 -7.6625 0.0000
1.7845 7.6625 0.0000
0.0000 0.0000 10.3013
Tl Ag W Se
2 2 2 6
direct
0.2453 0.7547 0.7500
0.7547 0.2453 0.2500
0.0701 0.9299 0.2500
0.9299 0.0701 0.7500
0.5000 0.5000 0.0000
0.5000 0.5000 0.5000
0.1230 0.8770 0.0155
0.1230 0.8770 0.4845
0.4380 0.5620 0.2500
0.5620 0.4380 0.7500
0.8770 0.1230 0.5155
0.8770 0.1230 0.9845